[1]
A plane-wave DFT calculation with PBE-GGA was carried out for an optimized crystal structure of Y5Se. Values from VASP.

The structure in Quantum ESPRESSO input format:
```
&SYSTEM
  ibrav = 0, nat = 6, ntyp = 2
/
ATOMIC_SPECIES
Y 88.91 Y.upf
Se 78.96 Se.upf
CELL_PARAMETERS angstrom
5.425 0.000 0.000
0.000 1.858 8.686
0.000 -1.858 8.686
ATOMIC_POSITIONS crystal
Y 0.000 0.000 0.000
Y 0.000 0.318 0.318
Y 0.500 0.190 0.190
Y 0.500 0.536 0.536
Y 0.500 0.871 0.871
Se 0.000 0.641 0.641
```

Calculated values
The total energy comes out at -6.284 eV/atom. As for the energy relative to the lowest polymorph listed for this composition: 163 meV per atom. The calculation puts the uncorrected formation energy at -0.32 eV per atom. The value obtained for the density of states at the Fermi level is 1.378 states/eV per atom.



[2]
A plane-wave DFT calculation with PBE-GGA was carried out for an optimized crystal structure of Ce2LuAs. Values from VASP.

The structure in Quantum ESPRESSO input format:
```
&SYSTEM
  ibrav = 0, nat = 4, ntyp = 3
/
ATOMIC_SPECIES
Ce 140.12 Ce.upf
Lu 174.97 Lu.upf
As 74.92 As.upf
CELL_PARAMETERS angstrom
1.929 1.114 9.219
-1.929 1.114 9.219
0.000 -2.227 9.219
ATOMIC_POSITIONS crystal
Ce 0.234 0.234 0.234
Ce 0.766 0.766 0.766
Lu 0.000 0.000 0.000
As 0.500 0.500 0.500
```

Calculated values
The total energy comes out at -5.683 eV/atom. For the formation energy, the calculation gives -9.8 kcal/mol of atoms. The value obtained for the density of states at the Fermi level is 2.731 states/eV per atom.